ReSbPb at its PBEsol-relaxed geometry. Source: the Alexandria database, functional meta-GGA SCAN.

Unit cell a=4.698 b=4.698 c=4.698 alpha=60.00 beta=60.00 gamma=60.00
Each line ends with the local moment (μB).
Atoms (fractional coordinates):
Pb: 0.000 0.000 0.000  0.06
Re: 0.500 0.500 0.500  1.47
Sb: 0.250 0.250 0.250  -0.04

Calculated values
Space group: No. 216
Energy relative to the elements, uncorrected in eV per atom: 1.48
Distance to the lowest polymorph of the same formula in meV per atom: 896